Entry 1:
A plane-wave DFT calculation with PBE was carried out for a geometry-optimized LaGd3H structure.

Results
DOS at the Fermi energy: 1.219 states/eV per atom

The structure in POSCAR format:
```
LaGd3H
1.0
5.0908 0.0000 0.0000
0.0000 5.0908 0.0000
0.0000 0.0000 5.0908
La Gd H
1 3 1
direct
0.5000 0.5000 0.5000 La
0.5000 0.0000 0.0000 Gd
0.0000 0.0000 0.5000 Gd
0.0000 0.5000 0.0000 Gd
0.0000 0.0000 0.0000 H
```



Entry 2:
A plane-wave DFT calculation with PBE was carried out for a geometry-optimized La3GdH structure.

Results
DOS at the Fermi energy: 1.235 states/eV per atom

The structure in POSCAR format:
```
La3GdH
1.0
5.2438 0.0000 0.0000
0.0000 5.2438 0.0000
0.0000 0.0000 5.2438
La H Gd
3 1 1
direct
0.5000 0.0000 0.0000 La
0.0000 0.0000 0.5000 La
0.0000 0.5000 0.0000 La
0.0000 0.0000 0.0000 H
0.5000 0.5000 0.5000 Gd
```



Entry 3:
A plane-wave DFT calculation with PBE was carried out for a geometry-optimized LaGd2H structure.

Results
DOS at the Fermi energy: 1.211 states/eV per atom

The structure in POSCAR format:
```
LaGd2H
1.0
-3.3651 1.4355 0.2446
-1.7647 -0.0017 3.2141
1.7415 8.2450 3.0520
Gd H La
2 1 1
direct
0.2802 0.2802 0.1594 Gd
0.7198 0.7198 0.8406 Gd
0.0000 0.0000 0.0000 H
0.5000 0.5000 0.5000 La
```



no.,electronic total energy (eV/atom)
1,-10.260
2,-6.615
3,-9.287